(1)
{"formula": "PmSm7Ho4", "functional": "PBE", "state": "optimized geometry", "lattice_angstrom": [[6.284, 0.000, 0.000], [0.000, 7.254, 0.000], [2.114, 0.000, 8.687]], "species": ["Pm", "Sm", "Sm", "Sm", "Sm", "Sm", "Sm", "Sm", "Ho", "Ho", "Ho", "Ho"], "fractional_positions": [[0.000, 0.000, 0.000], [0.000, 0.500, 0.000], [0.222, 0.000, 0.335], [0.280, 0.749, 0.664], [0.500, 0.253, 0.999], [0.500, 0.747, 0.001], [0.720, 0.251, 0.336], [0.778, 0.000, 0.665], [0.219, 0.500, 0.335], [0.279, 0.253, 0.666], [0.721, 0.747, 0.334], [0.781, 0.500, 0.665]], "sg": "P-1", "de_polymorph_mev_per_atom": 0.0}

---

(2)
{"formula": "La8Tm6Sc", "functional": "PBE", "state": "optimized geometry", "lattice_angstrom": [[9.336, 0.000, 0.000], [-4.668, 8.085, 0.000], [0.000, 0.000, 6.632]], "species": ["La", "La", "La", "La", "La", "La", "La", "La", "Tm", "Tm", "Tm", "Tm", "Tm", "Tm", "Sc"], "fractional_positions": [[0.048, 0.288, 0.325], [0.241, 0.952, 0.325], [0.288, 0.241, 0.675], [0.333, 0.667, 0.376], [0.667, 0.333, 0.624], [0.712, 0.759, 0.325], [0.759, 0.048, 0.675], [0.952, 0.712, 0.675], [0.100, 0.439, 0.848], [0.339, 0.900, 0.848], [0.439, 0.339, 0.152], [0.561, 0.661, 0.848], [0.661, 0.100, 0.152], [0.900, 0.561, 0.152], [0.000, 0.000, 0.000]], "e_tot_ev_per_atom": -4.673, "sg": "P-3"}

---

(3)
{"formula": "HgPdS", "functional": "PBE", "state": "optimized geometry", "lattice_angstrom": [[3.490, 0.000, 0.000], [1.745, 6.271, 0.000], [0.004, 3.129, 5.796]], "species": ["Hg", "Hg", "Pd", "Pd", "S", "S"], "fractional_positions": [[0.000, 0.000, 0.000], [0.256, 0.493, 0.008], [0.177, 0.649, 0.521], [0.921, 0.164, 0.336], [0.564, 0.875, 0.592], [0.804, 0.395, 0.531]], "sg": "P1", "formation_energy_uncorrected_ev_per_atom": -0.13, "de_polymorph_mev_per_atom": 79.8}

---

(4)
{"formula": "Tm3Ni2Ag", "functional": "PBE", "state": "optimized geometry", "lattice_angstrom": [[3.398, 0.000, 0.000], [0.000, 3.398, 0.000], [0.000, 0.000, 10.389]], "species": ["Tm", "Tm", "Tm", "Ni", "Ni", "Ag"], "fractional_positions": [[0.000, 0.000, 0.000], [0.000, 0.000, 0.312], [0.000, 0.000, 0.688], [0.500, 0.500, 0.159], [0.500, 0.500, 0.841], [0.500, 0.500, 0.500]], "e_tot_ev_per_atom": -5.048, "sg": "P4/mmm"}

---

(5)
{"formula": "TbPaGa4", "functional": "PBE", "state": "optimized geometry", "lattice_angstrom": [[0.000, 3.908, 3.908], [3.908, 0.000, 3.908], [3.908, 3.908, 0.000]], "species": ["Tb", "Pa", "Ga", "Ga", "Ga", "Ga"], "fractional_positions": [[0.000, 0.000, 0.000], [0.750, 0.750, 0.750], [0.376, 0.376, 0.376], [0.376, 0.376, 0.873], [0.376, 0.873, 0.376], [0.873, 0.376, 0.376]], "sg": "F-43m", "de_polymorph_mev_per_atom": 125.4}

---

(6)
{"formula": "ErMg4Hg5", "functional": "PBE", "state": "optimized geometry", "lattice_angstrom": [[3.586, 0.000, 0.000], [0.000, 3.586, 0.000], [0.000, 0.000, 17.171]], "species": ["Er", "Mg", "Mg", "Mg", "Mg", "Hg", "Hg", "Hg", "Hg", "Hg"], "fractional_positions": [[0.000, 0.000, 0.000], [0.000, 0.000, 0.208], [0.000, 0.000, 0.403], [0.000, 0.000, 0.597], [0.000, 0.000, 0.792], [0.500, 0.500, 0.110], [0.500, 0.500, 0.305], [0.500, 0.500, 0.500], [0.500, 0.500, 0.695], [0.500, 0.500, 0.890]], "e_tot_ev_per_atom": -1.529, "sg": "P4/mmm"}

---

(7)
{"formula": "Ac3NiAg", "functional": "PBE", "state": "optimized geometry", "lattice_angstrom": [[4.187, 0.000, 0.000], [-2.091, 8.628, 0.000], [-0.001, -0.854, 8.952]], "species": ["Ac", "Ac", "Ac", "Ac", "Ac", "Ac", "Ni", "Ni", "Ag", "Ag"], "fractional_positions": [[0.000, 0.000, 0.000], [0.115, 0.230, 0.608], [0.297, 0.596, 0.001], [0.451, 0.900, 0.355], [0.664, 0.330, 0.253], [0.818, 0.634, 0.607], [0.277, 0.554, 0.360], [0.839, 0.676, 0.249], [0.470, 0.940, 0.726], [0.645, 0.290, 0.882]], "sg": "P1", "de_polymorph_mev_per_atom": 0.0}

---

(8)
{"formula": "Sm4Sb3Te", "functional": "PBE", "state": "optimized geometry", "lattice_angstrom": [[-3.157, 3.157, 6.314], [3.157, -3.157, 6.314], [3.157, 3.157, -6.314]], "species": ["Sm", "Sm", "Sm", "Sm", "Sb", "Sb", "Sb", "Te"], "fractional_positions": [[0.000, 0.500, 0.500], [0.246, 0.246, 0.000], [0.500, 0.000, 0.500], [0.754, 0.754, 0.000], [0.000, 0.000, 0.000], [0.250, 0.750, 0.500], [0.750, 0.250, 0.500], [0.500, 0.500, 0.000]], "sg": "I4/mmm", "formation_energy_uncorrected_ev_per_atom": -1.26, "de_polymorph_mev_per_atom": 0.0}

---

(9)
{"formula": "TmZrBe17", "functional": "PBE", "state": "optimized geometry", "lattice_angstrom": [[3.794, 2.190, 3.690], [-3.794, 2.190, 3.690], [0.000, -4.381, 3.690]], "species": ["Tm", "Zr", "Be", "Be", "Be", "Be", "Be", "Be", "Be", "Be", "Be", "Be", "Be", "Be", "Be", "Be", "Be", "Be", "Be"], "fractional_positions": [[0.000, 0.000, 0.000], [0.676, 0.676, 0.676], [0.054, 0.339, 0.622], [0.054, 0.622, 0.339], [0.182, 0.678, 0.678], [0.244, 0.244, 0.244], [0.339, 0.054, 0.622], [0.339, 0.622, 0.054], [0.341, 0.341, 0.838], [0.341, 0.838, 0.341], [0.436, 0.436, 0.436], [0.498, 0.997, 0.997], [0.622, 0.054, 0.339], [0.622, 0.339, 0.054], [0.678, 0.182, 0.678], [0.678, 0.678, 0.182], [0.838, 0.341, 0.341], [0.997, 0.498, 0.997], [0.997, 0.997, 0.498]], "e_tot_ev_per_atom": -4.220, "sg": "R3m"}

---

(10)
{"formula": "Ac4TmMg3", "functional": "PBE", "state": "optimized geometry", "lattice_angstrom": [[4.085, 0.000, 0.000], [0.000, 4.085, 0.000], [0.000, 0.000, 17.076]], "species": ["Ac", "Ac", "Ac", "Ac", "Tm", "Mg", "Mg", "Mg"], "fractional_positions": [[0.000, 0.000, 0.121], [0.000, 0.000, 0.364], [0.000, 0.000, 0.636], [0.000, 0.000, 0.879], [0.500, 0.500, 0.500], [0.500, 0.500, 0.000], [0.500, 0.500, 0.244], [0.500, 0.500, 0.756]], "e_tot_ev_per_atom": -3.246, "sg": "P4/mmm"}

---

(11)
{"formula": "Sc8Zn2Sn", "functional": "PBE", "state": "optimized geometry", "lattice_angstrom": [[4.109, -6.496, 0.000], [4.109, 6.496, 0.000], [-1.575, 0.000, 4.714]], "species": ["Sc", "Sc", "Sc", "Sc", "Sc", "Sc", "Sc", "Sc", "Zn", "Zn", "Sn"], "fractional_positions": [[0.085, 0.327, 0.605], [0.233, 0.767, 0.000], [0.327, 0.085, 0.605], [0.399, 0.399, 0.199], [0.601, 0.601, 0.801], [0.673, 0.915, 0.395], [0.767, 0.233, 0.000], [0.915, 0.673, 0.395], [0.308, 0.692, 0.500], [0.692, 0.308, 0.500], [0.000, 0.000, 0.000]], "e_tot_ev_per_atom": -5.373, "sg": "C2/m"}

---

(12)
{"formula": "MnHg2P", "functional": "PBE", "state": "optimized geometry", "lattice_angstrom": [[-1.974, 1.974, 5.137], [1.974, -1.974, 5.137], [1.974, 1.974, -5.137]], "species": ["Mn", "Hg", "Hg", "P"], "fractional_positions": [[0.000, 0.000, 0.000], [0.250, 0.750, 0.500], [0.750, 0.250, 0.500], [0.500, 0.500, 0.000]], "e_tot_ev_per_atom": -3.362, "sg": "I4/mmm"}

---

(13)
{"formula": "CrCuSbAu", "functional": "PBE", "state": "optimized geometry", "lattice_angstrom": [[0.000, 3.262, 3.262], [3.262, 0.000, 3.262], [3.262, 3.262, 0.000]], "species": ["Cr", "Cu", "Sb", "Au"], "fractional_positions": [[0.000, 0.000, 0.000], [0.500, 0.500, 0.500], [0.750, 0.750, 0.750], [0.250, 0.250, 0.250]], "sg": "F-43m", "formation_energy_uncorrected_ev_per_atom": 0.16}

---

(14)
{"formula": "MnCuTeI2", "functional": "PBE", "state": "optimized geometry", "lattice_angstrom": [[5.440, 0.000, 0.000], [0.000, 5.440, 0.000], [0.000, 0.000, 5.463]], "species": ["Mn", "Cu", "Te", "I", "I"], "fractional_positions": [[0.000, 0.000, 0.000], [0.500, 0.500, 0.500], [0.000, 0.000, 0.500], [0.000, 0.500, 0.000], [0.500, 0.000, 0.000]], "sg": "P4/mmm", "formation_energy_uncorrected_ev_per_atom": 0.49, "de_polymorph_mev_per_atom": 0.0}

---

(15)
{"formula": "Sm2GaPb", "functional": "PBE", "state": "optimized geometry", "lattice_angstrom": [[1.898, 1.096, 9.356], [-1.898, 1.096, 9.356], [0.000, -2.191, 9.356]], "species": ["Sm", "Sm", "Ga", "Pb"], "fractional_positions": [[0.241, 0.241, 0.241], [0.759, 0.759, 0.759], [0.500, 0.500, 0.500], [0.000, 0.000, 0.000]], "e_tot_ev_per_atom": -4.442, "sg": "R-3m"}

---

(16)
{"formula": "KIr2Pt", "functional": "PBE", "state": "optimized geometry", "lattice_angstrom": [[5.229, 0.000, 0.000], [0.000, 5.229, 0.000], [0.000, 0.000, 2.615]], "species": ["K", "Ir", "Ir", "Pt"], "fractional_positions": [[0.000, 0.000, 0.000], [0.000, 0.500, 0.500], [0.500, 0.000, 0.500], [0.500, 0.500, 0.000]], "sg": "P4/mmm", "de_polymorph_mev_per_atom": 670.1}

---

(17)
{"formula": "TaPBr2", "functional": "PBE", "state": "optimized geometry", "lattice_angstrom": [[1.593, 0.920, 11.240], [-1.593, 0.920, 11.240], [0.000, -1.840, 11.240]], "species": ["Ta", "P", "Br", "Br"], "fractional_positions": [[0.000, 0.000, 0.000], [0.500, 0.500, 0.500], [0.391, 0.391, 0.391], [0.609, 0.609, 0.609]], "sg": "R-3m", "formation_energy_uncorrected_ev_per_atom": 0.29, "de_polymorph_mev_per_atom": 705.6}

---

(18)
{"formula": "YSi", "functional": "PBE", "state": "optimized geometry", "lattice_angstrom": [[0.000, 3.247, 3.247], [3.247, 0.000, 3.247], [3.247, 3.247, 0.000]], "species": ["Y", "Si"], "fractional_positions": [[0.000, 0.000, 0.000], [0.750, 0.750, 0.750]], "sg": "F-43m", "formation_energy_uncorrected_ev_per_atom": 0.36}

---

(19)
{"formula": "BeTcCl4", "functional": "PBE", "state": "optimized geometry", "lattice_angstrom": [[0.000, 4.120, 4.120], [4.120, 0.000, 4.120], [4.120, 4.120, 0.000]], "species": ["Be", "Tc", "Cl", "Cl", "Cl", "Cl"], "fractional_positions": [[0.000, 0.000, 0.000], [0.250, 0.250, 0.250], [0.125, 0.625, 0.625], [0.625, 0.125, 0.625], [0.625, 0.625, 0.125], [0.625, 0.625, 0.625]], "sg": "F-43m", "formation_energy_uncorrected_ev_per_atom": 1.32}

---

(20)
{"formula": "Cs2LaIrI6", "functional": "PBE", "state": "optimized geometry", "lattice_angstrom": [[0.000, 6.020, 6.020], [6.020, 0.000, 6.020], [6.020, 6.020, 0.000]], "species": ["Cs", "Cs", "La", "Ir", "I", "I", "I", "I", "I", "I"], "fractional_positions": [[0.250, 0.250, 0.250], [0.750, 0.750, 0.750], [0.000, 0.000, 0.000], [0.500, 0.500, 0.500], [0.263, 0.263, 0.737], [0.263, 0.737, 0.263], [0.263, 0.737, 0.737], [0.737, 0.263, 0.263], [0.737, 0.263, 0.737], [0.737, 0.737, 0.263]], "sg": "Fm-3m", "formation_energy_uncorrected_ev_per_atom": -0.94}

---

(21)
{"formula": "LaTm12Sc2", "functional": "PBE", "state": "optimized geometry", "lattice_angstrom": [[3.537, 0.000, 0.000], [0.000, 4.739, 0.000], [-1.765, 0.000, 27.365]], "species": ["La", "Tm", "Tm", "Tm", "Tm", "Tm", "Tm", "Tm", "Tm", "Tm", "Tm", "Tm", "Tm", "Sc", "Sc"], "fractional_positions": [[0.000, 0.000, 0.000], [0.064, 0.000, 0.133], [0.189, 0.000, 0.384], [0.277, 0.500, 0.552], [0.343, 0.500, 0.678], [0.404, 0.500, 0.801], [0.466, 0.500, 0.930], [0.534, 0.500, 0.070], [0.596, 0.500, 0.199], [0.657, 0.500, 0.322], [0.723, 0.500, 0.448], [0.811, 0.000, 0.616], [0.936, 0.000, 0.867], [0.126, 0.000, 0.260], [0.874, 0.000, 0.740]], "e_tot_ev_per_atom": -4.623, "sg": "P2/m"}

---

(22)
{"formula": "CaGd2Sc", "functional": "PBE", "state": "optimized geometry", "lattice_angstrom": [[0.000, 3.992, 3.992], [3.992, 0.000, 3.992], [3.992, 3.992, 0.000]], "species": ["Ca", "Gd", "Gd", "Sc"], "fractional_positions": [[0.000, 0.000, 0.000], [0.250, 0.250, 0.250], [0.750, 0.750, 0.750], [0.500, 0.500, 0.500]], "sg": "Fm-3m", "de_polymorph_mev_per_atom": 96.6}

---

(23)
{"formula": "Ac4GaSnN", "functional": "PBE", "state": "optimized geometry", "lattice_angstrom": [[3.616, -8.898, 0.000], [3.616, 8.898, 0.000], [0.000, 0.000, 7.253]], "species": ["Ac", "Ac", "Ac", "Ac", "Ac", "Ac", "Ac", "Ac", "Ga", "Ga", "Sn", "Sn", "N", "N"], "fractional_positions": [[0.000, 0.500, 0.000], [0.000, 0.500, 0.500], [0.062, 0.938, 0.750], [0.418, 0.582, 0.750], [0.500, 0.000, 0.000], [0.500, 0.000, 0.500], [0.582, 0.418, 0.250], [0.938, 0.062, 0.250], [0.117, 0.883, 0.250], [0.883, 0.117, 0.750], [0.389, 0.611, 0.250], [0.611, 0.389, 0.750], [0.277, 0.723, 0.750], [0.723, 0.277, 0.250]], "sg": "Cmcm", "formation_energy_uncorrected_ev_per_atom": -0.67}

---

For each record above, in turn, the calculated total moment values are 0.0 0.0 0.0 0.0 0.0 0.0 0.0 0.0 0.0 0.0 1.4 4.1 3.6 4.4 0.0 0.6 0.6 0.3 6.3 2.0 0.0 14.6 0.0 μB/f.u..
For each record above, in turn, the calculated V values are 396 501 127 120 119 221 323 252 184 285 252 80 69 162 117 71 99 68 140 436 459 127 467 Å³/cell.
For each record above, in turn, the calculated theoretical density values are 7.79 7.20 8.88 10.13 9.31 9.53 8.70 7.22 3.73 6.70 4.02 10.10 10.39 5.13 8.22 14.37 6.25 2.84 2.95 5.17 8.17 5.22 7.90 g/cm3.